[1]
A plane-wave DFT calculation with PBE was carried out for crystalline TaAu3 at its relaxed geometry.

a b c (Å): 5.8715 5.8715 4.5810
angles (deg): 90.00 90.00 113.51
Positions (direct):
Ta (0.0988, 0.9012, 0.7500)
Ta (0.9012, 0.0988, 0.2500)
Au (0.0799, 0.3943, 0.7500)
Au (0.3943, 0.0799, 0.2500)
Au (0.4110, 0.5890, 0.2500)
Au (0.5890, 0.4110, 0.7500)
Au (0.6057, 0.9201, 0.7500)
Au (0.9201, 0.6057, 0.2500)

Fermi-level density of states = 0.987 states/eV per atom
DFT formation energy = 102 meV per atom
Symmetry = Cmcm
Spin magnetization = 0.00 μB per formula unit
E = -42.55 eV per cell

---

[2]
A plane-wave DFT calculation with PBE was carried out for crystalline Ta2Au at its relaxed geometry.

a b c (Å): 5.3038 5.3038 5.3038
angles (deg): 103.78 103.78 121.57
Positions (direct):
Ta (0.1485, 0.6485, 0.7969)
Ta (0.3515, 0.1485, 0.5000)
Ta (0.6485, 0.8515, 0.5000)
Ta (0.8515, 0.3515, 0.2031)
Au (0.2500, 0.2500, 0.0000)
Au (0.7500, 0.7500, 0.0000)

Fermi-level density of states = 0.687 states/eV per atom
DFT formation energy = 153 meV per atom
Symmetry = I4/mcm
Spin magnetization = 0.00 μB per formula unit
E = -53.05 eV per cell

---

[3]
A plane-wave DFT calculation with PBE was carried out for crystalline TaAu3 at its relaxed geometry.

a b c (Å): 5.2783 5.2783 5.2783
angles (deg): 90.00 90.00 90.00
Positions (direct):
Ta (0.0000, 0.0000, 0.0000)
Ta (0.5000, 0.5000, 0.5000)
Au (0.0000, 0.2500, 0.5000)
Au (0.0000, 0.7500, 0.5000)
Au (0.2500, 0.5000, 0.0000)
Au (0.5000, 0.0000, 0.2500)
Au (0.5000, 0.0000, 0.7500)
Au (0.7500, 0.5000, 0.0000)

Fermi-level density of states = 1.100 states/eV per atom
DFT formation energy = 273 meV per atom
Symmetry = Pm-3n
Spin magnetization = 1.02 μB per formula unit
E = -41.19 eV per cell

---

[4]
A plane-wave DFT calculation with PBE was carried out for crystalline TaAu3 at its relaxed geometry.

a b c (Å): 5.1060 5.1060 2.8359
angles (deg): 90.00 90.00 101.66
Positions (direct):
Ta (0.0000, 0.0000, 0.0000)
Au (0.0000, 0.5000, 0.5000)
Au (0.5000, 0.0000, 0.5000)
Au (0.5000, 0.5000, 0.0000)

Fermi-level density of states = 0.779 states/eV per atom
DFT formation energy = 135 meV per atom
Symmetry = Cmmm
Spin magnetization = 0.00 μB per formula unit
E = -21.15 eV per cell

---

[5]
A plane-wave DFT calculation with PBE was carried out for crystalline TaAu2 at its relaxed geometry.

a b c (Å): 13.2178 13.2178 13.2178
angles (deg): 167.34 167.34 17.94
Positions (direct):
Ta (0.3750, 0.6250, 0.7500)
Ta (0.6250, 0.3750, 0.2500)
Au (0.0479, 0.7979, 0.2500)
Au (0.2021, 0.9521, 0.2500)
Au (0.7979, 0.0479, 0.7500)
Au (0.9521, 0.2021, 0.7500)

Fermi-level density of states = 0.723 states/eV per atom
DFT formation energy = -15 meV per atom
Symmetry = I4_1/amd
Spin magnetization = 0.00 μB per formula unit
E = -36.91 eV per cell

---

[6]
A plane-wave DFT calculation with PBE was carried out for crystalline Ta2Au at its relaxed geometry.

a b c (Å): 4.7628 4.7628 2.7894
angles (deg): 90.00 90.00 120.00
Positions (direct):
Ta (0.3333, 0.6667, 0.0000)
Ta (0.6667, 0.3333, 0.0000)
Au (0.0000, 0.0000, 0.5000)

Fermi-level density of states = 1.902 states/eV per atom
DFT formation energy = 410 meV per atom
Symmetry = P6/mmm
Spin magnetization = 0.14 μB per formula unit
E = -25.75 eV per cell